VASP calculation (PBE) on crystalline YIrPb2 at its relaxed geometry.

Cell lengths 6.204, 10.877, 3.539 Å; angles 90.00, 123.66, 90.00 degrees
Fractional coordinates of all 8 atoms:
Y 0.000 0.000 0.000
Y 0.500 0.500 0.000
Ir 0.000 0.500 0.000
Ir 0.500 0.000 0.000
Pb 0.250 0.250 0.500
Pb 0.250 0.750 0.500
Pb 0.750 0.250 0.500
Pb 0.750 0.750 0.500

Output
- energy of formation from the pure elements (eV/atom) = 0.081
- VASP energy (eV per atom) = -5.60
- magnetization (μB/atom) = 0.0000

VASP calculation (PBE) on crystalline Y3IrPb at its relaxed geometry.

Cell lengths 9.864, 9.864, 9.864 Å; angles 60.00, 60.00, 60.00 degrees
Fractional coordinates of all 20 atoms:
Y 0.086 0.086 0.664
Y 0.086 0.664 0.086
Y 0.086 0.664 0.664
Y 0.336 0.336 0.914
Y 0.336 0.914 0.336
Y 0.336 0.914 0.914
Y 0.664 0.086 0.086
Y 0.664 0.086 0.664
Y 0.664 0.664 0.086
Y 0.914 0.336 0.336
Y 0.914 0.336 0.914
Y 0.914 0.914 0.336
Ir 0.000 0.000 0.000
Ir 0.000 0.000 0.500
Ir 0.000 0.500 0.000
Ir 0.500 0.000 0.000
Pb 0.000 0.500 0.500
Pb 0.500 0.000 0.500
Pb 0.500 0.500 0.000
Pb 0.500 0.500 0.500

Output
- energy of formation from the pure elements (eV/atom) = -0.360
- VASP energy (eV per atom) = -6.75
- magnetization (μB/atom) = 0.0000

VASP calculation (PBE) on crystalline YIrPb2 at its relaxed geometry.

Cell lengths 3.829, 3.829, 26.656 Å; angles 90.00, 90.00, 120.00 degrees
Fractional coordinates of all 12 atoms:
Y 0.000 0.000 0.000
Y 0.333 0.667 0.667
Y 0.667 0.333 0.333
Ir 0.000 0.000 0.271
Ir 0.333 0.667 0.938
Ir 0.667 0.333 0.605
Pb 0.000 0.000 0.540
Pb 0.000 0.000 0.768
Pb 0.333 0.667 0.207
Pb 0.333 0.667 0.435
Pb 0.667 0.333 0.102
Pb 0.667 0.333 0.873

Output
- energy of formation from the pure elements (eV/atom) = -0.071
- VASP energy (eV per atom) = -5.76
- magnetization (μB/atom) = 0.0000

VASP calculation (PBE) on crystalline Y3IrPb at its relaxed geometry.

Cell lengths 6.477, 6.477, 6.477 Å; angles 84.20, 84.20, 84.20 degrees
Fractional coordinates of all 10 atoms:
Y 0.071 0.750 0.429
Y 0.250 0.571 0.929
Y 0.429 0.071 0.750
Y 0.571 0.929 0.250
Y 0.750 0.429 0.071
Y 0.929 0.250 0.571
Ir 0.250 0.250 0.250
Ir 0.750 0.750 0.750
Pb 0.000 0.000 0.000
Pb 0.500 0.500 0.500

Output
- energy of formation from the pure elements (eV/atom) = -0.285
- VASP energy (eV per atom) = -6.68
- magnetization (μB/atom) = 0.0000

Number 1: theoretical density 11.62 g cm⁻³. Number 2: theoretical density 6.52 g cm⁻³. Number 3: theoretical density 10.24 g cm⁻³. Number 4: theoretical density 8.26 g cm⁻³.